No. 1
{
  "formula": "CdAgN2",
  "functional": "PBE-GGA",
  "state": "optimized geometry",
  "volume_a3_per_cell": 60.5,
  "crystal_system": "trigonal",
  "total_magnetization_mub_per_cell": 0.00,
  "n_ef_per_ev_fu": 2.680,
  "total_energy_ev_per_atom": -3.731,
  "lattice_angstrom": [[1.933, 0.000, 6.230], [-0.966, 1.674, 6.230], [-0.966, -1.674, 6.230]],
  "species": ["Ag", "N", "N", "Cd"],
  "fractional_positions": [[0.500, 0.500, 0.500], [0.113, 0.113, 0.113], [0.887, 0.887, 0.887], [0.000, 0.000, 0.000]]
}

No. 2
{
  "formula": "PmSm2Ho3S6",
  "functional": "PBE-GGA",
  "state": "optimized geometry",
  "volume_a3_per_cell": 261.6,
  "crystal_system": "monoclinic",
  "total_magnetization_mub_per_cell": 0.00,
  "n_ef_per_ev_fu": 5.249,
  "total_energy_ev_per_atom": -6.398,
  "lattice_angstrom": [[-0.133, -2.107, 6.485], [-5.343, -1.136, -4.084], [4.414, -4.610, -2.599]],
  "species": ["Sm", "Sm", "S", "S", "S", "S", "S", "S", "Ho", "Ho", "Ho", "Pm"],
  "fractional_positions": [[0.333, 0.667, 0.000], [0.667, 0.333, 0.000], [0.422, 0.088, 0.263], [0.578, 0.912, 0.737], [0.088, 0.422, 0.263], [0.247, 0.247, 0.738], [0.912, 0.578, 0.737], [0.753, 0.753, 0.262], [0.834, 0.166, 0.500], [0.166, 0.834, 0.500], [0.500, 0.500, 0.500], [0.000, 0.000, 0.000]]
}

No. 3
{
  "formula": "CdInSn2Pd",
  "functional": "PBE-GGA",
  "state": "optimized geometry",
  "volume_a3_per_cell": 242.5,
  "crystal_system": "tetragonal",
  "total_magnetization_mub_per_cell": 0.00,
  "n_ef_per_ev_fu": 2.402,
  "ef_mev_per_atom": -42,
  "lattice_angstrom": [[4.001, 0.000, 0.000], [0.000, 4.001, 0.000], [0.000, 0.000, 15.148]],
  "species": ["In", "In", "Pd", "Pd", "Cd", "Cd", "Sn", "Sn", "Sn", "Sn"],
  "fractional_positions": [[0.500, 0.500, 0.500], [0.000, 0.000, 0.500], [0.500, 0.000, 0.065], [0.000, 0.500, 0.935], [0.500, 0.000, 0.670], [0.000, 0.500, 0.330], [0.000, 0.500, 0.754], [0.500, 0.000, 0.888], [0.500, 0.000, 0.246], [0.000, 0.500, 0.112]]
}